The following is a DFT calculation (PBE+U) of crystalline Gd2ErCo2B2O3 at its relaxed geometry.

a b c (Å): 11.038 11.038 11.038
angles (deg): 162.26 162.26 25.20
Atoms (fractional coordinates):
Er: 0.000 0.000 0.000
O: 0.500 0.500 0.000
Gd: 0.636 0.636 0.000
O: 0.101 0.101 0.000
B: 0.211 0.211 0.000
O: 0.899 0.899 0.000
Co: 0.250 0.750 0.500
B: 0.789 0.789 0.000
Gd: 0.364 0.364 0.000
Co: 0.750 0.250 0.500

## Properties
M_tot: 0.000 μB/atom
total energy: -6.895 eV/atom
symmetry: I4/mmm (139)